(1)
The following is a PBE calculation of a geometry-optimized Li2YUO6 structure, from Alexandria.

a b c (Å): 5.545 5.661 8.057
angles (deg): 90.00 89.92 90.00
Each line ends with the local moment (μB).
Fractional positions:
Li  0.980  0.987  0.256  0.00
Li  0.480  0.513  0.756  0.00
Li  0.020  0.013  0.744  0.00
Li  0.520  0.487  0.244  0.00
Y  0.500  0.000  0.000  0.00
Y  0.000  0.500  0.500  0.00
U  0.500  0.000  0.500  0.02
U  0.000  0.500  0.000  0.02
O  0.324  0.653  0.064  0.12
O  0.824  0.847  0.564  0.12
O  0.676  0.347  0.936  0.12
O  0.176  0.153  0.436  0.12
O  0.355  0.681  0.425  0.13
O  0.855  0.819  0.925  0.13
O  0.645  0.319  0.575  0.13
O  0.145  0.181  0.075  0.13
O  0.873  0.587  0.236  0.09
O  0.373  0.913  0.736  0.09
O  0.127  0.413  0.764  0.09
O  0.627  0.087  0.264  0.09

Summary:
- Total moment: 1.67 Bohr magnetons per cell
- Space group: P2_1/c (14)
- E_form (uncorrected): -2.666 eV per atom

=====

(2)
The following is a PBE calculation of a geometry-optimized Li2UZnO6 structure, from Alexandria.

a b c (Å): 5.276 5.282 5.628
angles (deg): 61.95 61.97 59.96
Fractional positions:
Li  0.535  0.534  0.397
Li  0.026  0.026  0.921
U  0.322  0.322  0.035
Zn  0.818  0.819  0.545
O  0.589  0.203  0.267
O  0.203  0.941  0.267
O  0.941  0.589  0.266
O  0.435  0.702  0.772
O  0.702  0.091  0.773
O  0.090  0.435  0.773

Summary:
- Total moment: 0.00 Bohr magnetons per cell
- Space group: P1 (1)
- E_form (uncorrected): -1.972 eV per atom

=====

(3)
The following is a PBE calculation of a geometry-optimized Li2UZn2O6 structure, from Alexandria.

a b c (Å): 5.417 5.417 5.418
angles (deg): 100.30 100.30 118.27
Fractional positions:
Li  0.789  0.211  0.000
Li  0.211  0.789  0.000
U  0.000  0.000  0.500
Zn  0.335  0.665  0.500
Zn  0.665  0.335  0.500
O  0.747  0.747  0.703
O  0.046  0.388  0.736
O  0.253  0.253  0.297
O  0.388  0.046  0.736
O  0.954  0.612  0.264
O  0.612  0.954  0.264

Summary:
- Total moment: 0.00 Bohr magnetons per cell
- Space group: C2/m (12)
- E_form (uncorrected): -2.131 eV per atom

=====

(4)
The following is a PBE calculation of a geometry-optimized LiZrUO6 structure, from Alexandria.

a b c (Å): 4.969 4.969 9.748
angles (deg): 90.00 90.00 90.00
Fractional positions:
Li  0.500  0.500  0.501
Li  0.000  0.000  0.001
Zr  0.500  0.500  0.171
Zr  0.000  0.000  0.671
U  0.500  0.500  0.832
U  0.000  0.000  0.332
O  0.185  0.815  0.496
O  0.815  0.185  0.496
O  0.315  0.315  0.996
O  0.685  0.685  0.996
O  0.198  0.802  0.175
O  0.802  0.198  0.175
O  0.302  0.302  0.675
O  0.698  0.698  0.675
O  0.795  0.205  0.827
O  0.205  0.795  0.827
O  0.705  0.705  0.327
O  0.295  0.295  0.327

Summary:
- Total moment: 0.02 Bohr magnetons per cell
- Space group: P4_2nm (102)
- E_form (uncorrected): -2.699 eV per atom